Entry 1:
DFT (PBE-GGA) results for KCaGe2As after structural relaxation.

Computed properties:
- Space-group type: P4/mmm
- DFT formation energy: 1234.7 meV per atom
- Size of the total moment: 0.00 μB per cell

Cell lengths 5.3694, 5.6029, 5.3694 Å; angles 90.00, 90.00, 90.00 degrees
Fractional positions:
K1 0.0000 0.0000 0.0000
As1 0.5000 0.5000 0.5000
Ca1 0.0000 0.5000 0.0000
Ge1 0.0000 0.0000 0.5000
Ge2 0.5000 0.0000 0.0000

---

Entry 2:
DFT (PBE-GGA) results for Sm2Ho3Er after structural relaxation.

Computed properties:
- Space-group type: C2/c
- DFT formation energy: 164.2 meV per atom
- Size of the total moment: 0.00 μB per cell

Cell lengths 5.9597, 12.2022, 12.2022 Å; angles 46.87, 42.96, 42.96 degrees
Fractional positions:
Sm1 0.6500 0.5824 0.1515
Sm2 0.8500 0.8485 0.4176
Sm3 0.1500 0.1515 0.5824
Sm4 0.3500 0.4176 0.8485
Ho1 0.7500 0.6085 0.3915
Ho2 0.2500 0.3915 0.6085
Ho3 0.9400 0.8541 0.6844
Ho4 0.5600 0.3156 0.1459
Ho5 0.0600 0.1459 0.3156
Ho6 0.4400 0.6844 0.8541
Er1 0.5000 0.0000 0.0000
Er2 0.0000 0.0000 0.0000

---

Entry 3:
DFT (PBE-GGA) results for CaNd7Sm4 after structural relaxation.

Computed properties:
- Space-group type: P-1
- DFT formation energy: 24.6 meV per atom
- Size of the total moment: 0.00 μB per cell

Cell lengths 7.4070, 6.4109, 11.7780 Å; angles 79.59, 51.04, 89.98 degrees
Fractional positions:
Ca1 0.0000 0.0000 0.0000
Nd1 0.7441 0.5006 0.9998
Nd2 0.2559 0.4994 0.0002
Nd3 0.0805 0.2816 0.6644
Nd4 0.9195 0.7184 0.3356
Nd5 0.3408 0.7735 0.6591
Nd6 0.5000 0.0000 0.0000
Nd7 0.6592 0.2265 0.3409
Sm1 0.4102 0.7180 0.3351
Sm2 0.5898 0.2820 0.6649
Sm3 0.8302 0.7794 0.6693
Sm4 0.1698 0.2206 0.3307